Entry 1:
Compound: K2ZrHgPt
Source: the Alexandria database
Functional: PBE
Structure: optimized geometry

Properties
- calculated formation energy (eV/atom) = 0.946
- Fermi-level density of states (states/eV/f.u.) = 4.9

abc: 6.0174 6.0174 5.1840
angles: 90.00 90.00 90.00
Last column: nearest neighbours and their distance in Å.
Space group P4/mmm (No. 123)
Unique sites:
K1 0.0000 0.5000 0.0000 (multiplicity 2)  2 Hg 3.01
Zr1 0.0000 0.0000 0.5000 (multiplicity 1)  8 K 3.97, 4 Pt 4.25
Hg1 0.5000 0.5000 0.0000 (multiplicity 1)  2 Pt 2.59
Pt1 0.5000 0.5000 0.5000 (multiplicity 1)  2 Hg 2.59

=====

Entry 2:
Compound: SmHoTh2Sb5
Source: the Alexandria database
Functional: PBE
Structure: optimized geometry

Properties
- Fermi-level density of states (states/eV/f.u.) = 5.3
- E_form (uncorrected) (meV per atom) = -215

abc: 5.2451 5.2451 11.5623
angles: 90.00 90.00 90.00
Last column: nearest neighbours and their distance in Å.
Space group P4/mmm (No. 123)
Unique sites:
Sm1 0.0000 0.0000 0.0000 (multiplicity 1)  2 Sb 2.89
Ho1 0.0000 0.0000 0.5000 (multiplicity 1)  6 Sb 2.62-2.89
Th1 0.5000 0.5000 0.3008 (multiplicity 2)  9 Sb 3.48-3.75
Sb1 0.0000 0.0000 0.2502 (multiplicity 2)  1 Ho 2.89, 1 Sm 2.89
Sb2 0.0000 0.5000 0.5000 (multiplicity 2)  2 Ho 2.62
Sb3 0.5000 0.5000 0.0000 (multiplicity 1)  2 Th 3.48, 4 Sm 3.71

=====

Entry 3:
Compound: CeGaCl5
Source: the Alexandria database
Functional: PBE
Structure: optimized geometry

Properties
- E_form (uncorrected) (meV per atom) = -1568

abc: 5.4190 8.7015 10.8798
angles: 90.00 90.00 90.00
Last column: nearest neighbours and their distance in Å.
Space group Immm (No. 71)
Unique sites:
Ce1 0.0000 0.0000 0.0000 (multiplicity 2)  6 Cl 2.59-2.71
Ga1 0.0000 0.0000 0.5000 (multiplicity 2)  2 Cl 2.85
Cl1 0.0000 0.0000 0.2384 (multiplicity 4)  1 Ce 2.59, 1 Ga 2.85
Cl2 0.0000 0.3004 0.0000 (multiplicity 4)  1 Ce 2.61
Cl3 0.0000 0.5000 0.5000 (multiplicity 2)  2 Ce 2.71

=====

Entry 4:
Compound: Cr4InW
Source: the Alexandria database
Functional: PBE
Structure: optimized geometry

Properties
- calculated formation energy (eV/atom) = 0.173
- Fermi-level density of states (states/eV/f.u.) = 4.0

abc: 6.9000 6.9000 6.9000
angles: 90.00 90.00 90.00
Last column: nearest neighbours and their distance in Å.
Space group F-43m (No. 216)
Unique sites:
Cr1 0.1251 0.1251 0.1251 (multiplicity 16)  6 Cr 2.44
In1 0.2500 0.2500 0.7500 (multiplicity 4)  12 Cr 2.86, 4 W 2.99
W1 0.0000 0.0000 0.5000 (multiplicity 4)  12 Cr 2.86, 4 In 2.99

=====

Q: Which mass density values were calculated for the entries above? A: 5.00 7.25 2.51 10.24, in g/cm3.